Record 1
Crystalline CsRbZn2As2 at its relaxed geometry. Source: Alexandria, functional PBE-GGA.

Values from the calculation:
* DFT formation energy: -0.440 eV/atom

Cell: 4.306 4.306 11.469 Å, 90.00 90.00 120.00°
Sites, in units of the cell vectors:
As  0.667  0.333  0.742
Zn  0.333  0.667  0.741
Cs  0.000  0.000  0.000
As  0.333  0.667  0.258
Rb  0.000  0.000  0.500
Zn  0.667  0.333  0.259

Record 2
Crystalline Cs4Rb2ZnAs2 at its relaxed geometry. Source: Alexandria, functional PBE-GGA.

Values from the calculation:
* DFT formation energy: -0.256 eV/atom

Cell: 5.578 11.243 11.243 Å, 82.20 72.76 72.76°
Sites, in units of the cell vectors:
As  0.753  0.852  0.852
Rb  0.060  0.637  0.637
As  0.247  0.148  0.148
Rb  0.940  0.363  0.363
Cs  0.758  0.292  0.985
Zn  0.500  0.000  0.000
Cs  0.758  0.985  0.292
Cs  0.242  0.015  0.708
Cs  0.242  0.708  0.015

Record 3
Crystalline CsRb2ZnAs2 at its relaxed geometry. Source: Alexandria, functional PBE-GGA.

Values from the calculation:
* DFT formation energy: -0.273 eV/atom

Cell: 8.627 7.720 9.070 Å, 115.19 118.39 90.00°
Last column: magnetic moment on the atom in μB.
Sites, in units of the cell vectors:
As  0.735  0.075  0.149  0.08
As  0.415  0.575  0.149  0.08
Cs  0.000  0.750  0.000  0.01
Zn  0.500  0.750  0.000  0.01
Cs  0.000  0.250  0.000  0.01
Rb  0.506  0.818  0.635  0.00
Rb  0.871  0.682  0.365  0.00
Rb  0.494  0.182  0.365  0.00
Rb  0.129  0.318  0.635  0.00
Zn  0.500  0.250  0.000  0.01
As  0.585  0.425  0.851  0.08
As  0.265  0.925  0.851  0.08

Record 4
Crystalline CsRe3As at its relaxed geometry. Source: Alexandria, functional PBE-GGA.

Values from the calculation:
* DFT formation energy: 2.161 eV/atom
* offset from the most stable computed form: 0.0 meV per atom

Cell: 4.804 4.804 4.804 Å, 90.00 90.00 90.00°
Last column: magnetic moment on the atom in μB.
Sites, in units of the cell vectors:
As  0.000  0.000  0.000  -0.04
Re  0.000  0.500  0.000  1.08
Re  0.500  0.000  0.000  0.99
Re  0.000  0.000  0.500  1.02
Cs  0.500  0.500  0.500  0.12

Record 5
Crystalline Cs2ReAs at its relaxed geometry. Source: Alexandria, functional PBE-GGA.

Values from the calculation:
* DFT formation energy: 0.647 eV/atom
* offset from the most stable computed form: 0.0 meV per atom

Cell: 9.833 9.833 9.833 Å, 93.33 93.33 152.11°
Last column: magnetic moment on the atom in μB.
Sites, in units of the cell vectors:
Cs  0.125  0.451  0.826  0.00
Cs  0.549  0.375  0.674  0.00
Cs  0.701  0.875  0.326  0.00
Re  0.250  0.750  0.500  1.66
As  0.500  0.500  0.000  -0.04
As  0.750  0.250  0.500  -0.04
Cs  0.625  0.299  0.174  0.00
Re  0.000  0.000  0.000  1.66

Record 6
Crystalline Cs2ReAs at its relaxed geometry. Source: Alexandria, functional PBE-GGA.

Values from the calculation:
* DFT formation energy: 1.564 eV/atom
* offset from the most stable computed form: 917.0 meV per atom

Cell: 6.197 6.197 6.197 Å, 60.00 60.00 60.00°
Last column: magnetic moment on the atom in μB.
Sites, in units of the cell vectors:
As  0.000  0.000  0.000  0.54
Re  0.500  0.500  0.500  3.76
Cs  0.750  0.750  0.750  0.04
Cs  0.250  0.250  0.250  0.04

Number 1: DFT total energy -16.31 eV for the cell shown. Number 2: DFT total energy -18.22 eV for the cell shown. Number 3: DFT total energy -29.99 eV for the cell shown. Number 4: DFT total energy -32.04 eV for the cell shown. Number 5: DFT total energy -32.43 eV for the cell shown. Number 6: DFT total energy -12.55 eV for the cell shown.